Record 1
! BaFeNi2 | the Alexandria database | meta-GGA SCAN | PBEsol geometry; values from VASP
&SYSTEM
  ibrav = 0, nat = 4, ntyp = 3
/
ATOMIC_SPECIES
Ni 58.69 Ni.upf
Fe 55.84 Fe.upf
Ba 137.33 Ba.upf
CELL_PARAMETERS angstrom
3.124 0.000 0.000
0.000 3.124 0.000
0.000 0.000 7.076
ATOMIC_POSITIONS crystal
Ni 0.500 0.500 0.169
Ni 0.000 0.000 0.991
Fe 0.500 0.500 0.853
Ba 0.000 0.000 0.487
! - energy of formation (eV/atom) = 0.498
! - Fermi-level density of states (states/eV/cell) = 3.71
! - energy above the lowest structure with this stoichiometry (meV/atom) = 0

Record 2
! BaFeNi2 | the Alexandria database | meta-GGA SCAN | PBEsol geometry; values from VASP
&SYSTEM
  ibrav = 0, nat = 4, ntyp = 3
/
ATOMIC_SPECIES
Ba 137.33 Ba.upf
Ni 58.69 Ni.upf
Fe 55.84 Fe.upf
CELL_PARAMETERS angstrom
-0.498 -1.836 -3.425
3.742 -3.040 -1.155
-1.337 -4.748 0.498
ATOMIC_POSITIONS crystal
Ba 0.500 0.000 0.000
Ni 0.327 0.673 0.673
Ni 0.673 0.327 0.327
Fe 0.000 0.500 0.500
! - energy of formation (eV/atom) = 0.649
! - Fermi-level density of states (states/eV/cell) = 3.38
! - energy above the lowest structure with this stoichiometry (meV/atom) = 151

Record 3
! BaFeNi2 | the Alexandria database | meta-GGA SCAN | PBEsol geometry; values from VASP
&SYSTEM
  ibrav = 0, nat = 4, ntyp = 3
/
ATOMIC_SPECIES
Ba 137.33 Ba.upf
Ni 58.69 Ni.upf
Fe 55.84 Fe.upf
CELL_PARAMETERS angstrom
-0.498 4.485 0.206
-1.846 1.902 3.658
2.561 2.430 2.818
ATOMIC_POSITIONS crystal
Ba 0.500 0.500 0.500
Ni 0.000 0.000 0.000
Ni 0.750 0.750 0.750
Fe 0.250 0.250 0.250
! - energy of formation (eV/atom) = 1.020
! - Fermi-level density of states (states/eV/cell) = 3.89
! - energy above the lowest structure with this stoichiometry (meV/atom) = 523